Compound: Ba3TmCr2O9
Source: Alexandria via LeMat-Bulk
Functional: PBE+U
Structure: relaxed

Summary:
crystal system	trigonal
V	205.2	Å³ per cell
SG	No. 164
magnetic moment	0.200	μB/atom
DFT total energy	-105.423	eV per cell
calculated density	6.71	g/cm³

abc: 5.7724 5.7724 7.1112
angles: 90.00 90.00 120.00
With the nearest neighbours (Å) after each atom.
Fractional positions:
Ba  0.3333  0.6667  0.6779  12 O 2.83-3.01
Ba  0.0000  0.0000  0.0000  12 O 2.86-2.89
Ba  0.6667  0.3333  0.3221  12 O 2.83-3.01
Tm  0.0000  0.0000  0.5000  6 O 2.20
Cr  0.3333  0.6667  0.1640  6 O 1.90-2.03
Cr  0.6667  0.3333  0.8360  6 O 1.90-2.03
O  0.8226  0.1774  0.6839  1 Cr 1.90
O  0.8226  0.6451  0.6839  1 Cr 1.90
O  0.3549  0.1774  0.6839  1 Cr 1.90
O  0.6451  0.8226  0.3161  1 Cr 1.90
O  0.1774  0.3549  0.3161  1 Cr 1.90
O  0.1774  0.8226  0.3161  1 Cr 1.90
O  0.5000  0.0000  0.0000  2 Cr 2.03
O  0.0000  0.5000  0.0000  2 Cr 2.03
O  0.5000  0.5000  0.0000  2 Cr 2.03